Version a
Density functional theory data (PBEsol) for a relaxed LiSiTe2 crystal.

Summary:
D(E_F)   2.04 states/eV/f.u.
Size of the total moment   0.0 μB per cell

a b c (Å): 3.8635 5.8852 8.2370
angles (deg): 90.00 90.00 90.00
Space group Immm (No. 71)
Unique sites:
1 Li 0.0000 0.0000 0.0000
2 Si 0.0000 0.0000 0.5000
3 Te 0.0000 0.5000 0.2331


Version b
Density functional theory data (PBEsol) for a relaxed LiSiTe2 crystal.

Summary:
D(E_F)   3.45 states/eV/f.u.
Size of the total moment   0.0 μB per cell

a b c (Å): 6.1343 6.1343 12.9054
angles (deg): 90.00 90.00 90.00
Space group I-42d (No. 122)
Unique sites:
1 Li 0.0000 0.0000 0.0000
2 Si 0.0000 0.0000 0.5000
3 Te 0.2329 0.2500 0.6250


Most stable structure among those shown: version b. Next: +16.9 kJ/mol of atoms.